First-principles (PBE) data for a geometry-optimized SiTc2Ag structure, as listed in Alexandria. Values from VASP.

* total moment: 0.000 μB/cell
* energy: -7.078 eV per atom
* uncorrected formation energy: 173.3 meV/atom
* space-group type: Pm (6)

```
&SYSTEM
  ibrav = 0, nat = 4, ntyp = 3
/
ATOMIC_SPECIES
Ag 107.87 Ag.upf
Tc 98.00 Tc.upf
Si 28.09 Si.upf
ATOMIC_POSITIONS angstrom
Ag 0.000 2.671 2.763
Tc 1.944 1.248 1.188
Tc 0.000 4.082 5.439
Si 1.944 2.652 4.335
CELL_PARAMETERS angstrom
3.888 0.000 0.000
0.000 2.829 -0.017
0.000 1.432 5.507
```